No. 1
# Na3HfN, relaxed, DFT GGA-PBEsol
# Calculated volume: 21.01 Å³/atom
# E_form (uncorrected): 1.12 eV/atom
# Calculated total energy: -3.521 eV/atom
# Total magnetic moment: 0.00 μB per formula unit
data_Na3HfN
_cell_length_a 4.718
_cell_length_b 4.718
_cell_length_c 4.718
_cell_angle_alpha 90.00
_cell_angle_beta 90.00
_cell_angle_gamma 90.00
_space_group_name_H-M_alt 'P m -3 m'
_space_group_IT_number 221
_space_group_name_Hall '-P 4 2 3'
loop_
_atom_site_label
_atom_site_fract_x
_atom_site_fract_y
_atom_site_fract_z
Na1 0.000 0.000 0.500
Hf1 0.500 0.500 0.500
N1 0.000 0.000 0.000

No. 2
# BaP2Cl, relaxed, DFT GGA-PBEsol
# Calculated volume: 23.35 Å³/atom
# E_form (uncorrected): -0.29 eV/atom
# Calculated total energy: -4.227 eV/atom
# Total magnetic moment: 0.00 μB per formula unit
# Relative energy among the computed polymorphs: 237 kJ/mol of formula units
data_BaP2Cl
_cell_length_a 7.203
_cell_length_b 7.203
_cell_length_c 7.203
_cell_angle_alpha 90.00
_cell_angle_beta 90.00
_cell_angle_gamma 90.00
_space_group_name_H-M_alt 'F -4 3 m'
_space_group_IT_number 216
_space_group_name_Hall 'F -4 2 3'
loop_
_atom_site_label
_atom_site_fract_x
_atom_site_fract_y
_atom_site_fract_z
Ba1 0.000 0.000 0.000
P1 0.000 0.000 0.500
P2 0.250 0.250 0.750
Cl1 0.250 0.250 0.250

No. 3
# SrLi2NbZn, relaxed, DFT GGA-PBEsol
# Calculated volume: 20.17 Å³/atom
# Calculated total energy: -2.183 eV/atom
# Total magnetic moment: 0.00 μB per formula unit
# Formation energy: 140.1 kJ/mol of atoms
data_SrLi2NbZn
_cell_length_a 4.416
_cell_length_b 4.416
_cell_length_c 5.170
_cell_angle_alpha 90.00
_cell_angle_beta 90.00
_cell_angle_gamma 90.00
_space_group_name_H-M_alt 'P 4/m m m'
_space_group_IT_number 123
_space_group_name_Hall '-P 4 2'
loop_
_atom_site_label
_atom_site_fract_x
_atom_site_fract_y
_atom_site_fract_z
Sr1 0.000 0.000 0.000
Li1 0.000 0.500 0.000
Nb1 0.500 0.500 0.500
Zn1 0.000 0.000 0.500

No. 4
# AgSeS2, relaxed, DFT GGA-PBEsol
# Calculated volume: 21.58 Å³/atom
# E_form (uncorrected): 0.20 eV/atom
# Calculated total energy: -3.781 eV/atom
# Total magnetic moment: 0.00 μB per formula unit
data_AgSeS2
_cell_length_a 3.6927
_cell_length_b 3.6927
_cell_length_c 21.9250
_cell_angle_alpha 90.00
_cell_angle_beta 90.00
_cell_angle_gamma 120.00
_space_group_name_H-M_alt 'R -3 m'
_space_group_IT_number 166
_space_group_name_Hall '-R 3 2"'
loop_
_atom_site_label
_atom_site_fract_x
_atom_site_fract_y
_atom_site_fract_z
Ag1 0.0000 0.0000 0.0000
Se1 0.0000 0.0000 0.5000
S1 0.0000 0.0000 0.3947

No. 5
# KOsRh2, relaxed, DFT GGA-PBEsol
# Calculated volume: 19.08 Å³/atom
# Calculated total energy: -6.665 eV/atom
# Total magnetic moment: 0.00 μB per formula unit
# Relative energy among the computed polymorphs: 64 kJ/mol of formula units
# Formation energy: 71.5 kJ/mol of atoms
data_KOsRh2
_cell_length_a 2.642
_cell_length_b 3.846
_cell_length_c 7.512
_cell_angle_alpha 90.00
_cell_angle_beta 90.00
_cell_angle_gamma 90.00
_space_group_name_H-M_alt 'P m m 2'
_space_group_IT_number 25
_space_group_name_Hall 'P 2 -2'
loop_
_atom_site_label
_atom_site_fract_x
_atom_site_fract_y
_atom_site_fract_z
K1 0.000 0.000 0.000
Os1 0.500 0.500 0.350
Rh1 0.000 0.000 0.493
Rh2 0.500 0.500 0.681

No. 6
# CaPW2, relaxed, DFT GGA-PBEsol
# Calculated volume: 16.90 Å³/atom
# Calculated total energy: -8.253 eV/atom
# Total magnetic moment: 0.00 μB per formula unit
# Relative energy among the computed polymorphs: 207 kJ/mol of formula units
# Formation energy: 61.0 kJ/mol of atoms
data_CaPW2
_cell_length_a 5.534
_cell_length_b 10.053
_cell_length_c 2.719
_cell_angle_alpha 90.00
_cell_angle_beta 116.62
_cell_angle_gamma 90.00
_space_group_name_H-M_alt 'C 1 2/m 1'
_space_group_IT_number 12
_space_group_name_Hall '-C 2y'
loop_
_atom_site_label
_atom_site_fract_x
_atom_site_fract_y
_atom_site_fract_z
Ca1 0.000 0.000 0.000
P1 0.000 0.500 0.000
W1 0.250 0.250 0.000

No. 7
# SrPtBr2, relaxed, DFT GGA-PBEsol
# Calculated volume: 23.35 Å³/atom
# E_form (uncorrected): -0.44 eV/atom
# Calculated total energy: -3.580 eV/atom
# Total magnetic moment: 0.00 μB per formula unit
# Relative energy among the computed polymorphs: 137 kJ/mol of formula units
data_SrPtBr2
_cell_length_a 3.689
_cell_length_b 3.689
_cell_length_c 6.865
_cell_angle_alpha 90.00
_cell_angle_beta 90.00
_cell_angle_gamma 90.00
_space_group_name_H-M_alt 'P 4/m m m'
_space_group_IT_number 123
_space_group_name_Hall '-P 4 2'
loop_
_atom_site_label
_atom_site_fract_x
_atom_site_fract_y
_atom_site_fract_z
Sr1 0.000 0.000 0.000
Pt1 0.000 0.000 0.500
Br1 0.500 0.500 0.252

No. 8
# MgAu2Br, relaxed, DFT GGA-PBEsol
# Calculated volume: 20.89 Å³/atom
# E_form (uncorrected): -0.22 eV/atom
# Calculated total energy: -3.075 eV/atom
# Total magnetic moment: 0.00 μB per formula unit
# Relative energy among the computed polymorphs: 18 kJ/mol of formula units
data_MgAu2Br
_cell_length_a 5.414
_cell_length_b 6.456
_cell_length_c 4.781
_cell_angle_alpha 90.00
_cell_angle_beta 90.00
_cell_angle_gamma 90.00
_space_group_name_H-M_alt 'C m m m'
_space_group_IT_number 65
_space_group_name_Hall '-C 2 2'
loop_
_atom_site_label
_atom_site_fract_x
_atom_site_fract_y
_atom_site_fract_z
Mg1 0.000 0.000 0.000
Au1 0.000 0.217 0.500
Br1 0.000 0.500 0.000

No. 9
# Mo5Pt, relaxed, DFT GGA-PBEsol
# Calculated volume: 15.35 Å³/atom
# Calculated total energy: -10.851 eV/atom
# Total magnetic moment: 0.00 μB per formula unit
# Relative energy among the computed polymorphs: 0 kJ/mol of formula units
# Formation energy: 11.2 kJ/mol of atoms
data_Mo5Pt
_cell_length_a 2.652
_cell_length_b 2.652
_cell_length_c 13.100
_cell_angle_alpha 90.00
_cell_angle_beta 90.00
_cell_angle_gamma 90.00
_space_group_name_H-M_alt 'P 4/m m m'
_space_group_IT_number 123
_space_group_name_Hall '-P 4 2'
loop_
_atom_site_label
_atom_site_fract_x
_atom_site_fract_y
_atom_site_fract_z
Mo1 0.000 0.000 0.000
Mo2 0.000 0.000 0.342
Mo3 0.500 0.500 0.172
Pt1 0.500 0.500 0.500

No. 10
# BaLa2Mo, relaxed, DFT GGA-PBEsol
# Calculated volume: 27.81 Å³/atom
# Calculated total energy: -5.513 eV/atom
# Total magnetic moment: 0.00 μB per formula unit
# Relative energy among the computed polymorphs: 28 kJ/mol of formula units
# Formation energy: 61.7 kJ/mol of atoms
data_BaLa2Mo
_cell_length_a 7.634
_cell_length_b 7.634
_cell_length_c 7.634
_cell_angle_alpha 90.00
_cell_angle_beta 90.00
_cell_angle_gamma 90.00
_space_group_name_H-M_alt 'F m -3 m'
_space_group_IT_number 225
_space_group_name_Hall '-F 4 2 3'
loop_
_atom_site_label
_atom_site_fract_x
_atom_site_fract_y
_atom_site_fract_z
Ba1 0.000 0.000 0.000
La1 0.250 0.250 0.250
Mo1 0.000 0.000 0.500

No. 11
# ScCr2In, relaxed, DFT GGA-PBEsol
# Calculated volume: 16.07 Å³/atom
# Calculated total energy: -7.467 eV/atom
# Total magnetic moment: 0.41 μB per formula unit
# Formation energy: 4.9 kJ/mol of atoms
data_ScCr2In
_cell_length_a 2.990
_cell_length_b 2.990
_cell_length_c 7.191
_cell_angle_alpha 90.00
_cell_angle_beta 90.00
_cell_angle_gamma 90.00
_space_group_name_H-M_alt 'P 4 m m'
_space_group_IT_number 99
_space_group_name_Hall 'P 4 -2'
loop_
_atom_site_label
_atom_site_fract_x
_atom_site_fract_y
_atom_site_fract_z
Sc1 0.000 0.000 0.000
Cr1 0.000 0.000 0.411
Cr2 0.500 0.500 0.261
In1 0.500 0.500 0.676

No. 12
# Zr2TaRu, relaxed, DFT GGA-PBEsol
# Calculated volume: 18.13 Å³/atom
# Calculated total energy: -10.466 eV/atom
# Total magnetic moment: 0.00 μB per formula unit
# Relative energy among the computed polymorphs: 0 kJ/mol of formula units
# Formation energy: -23.2 kJ/mol of atoms
data_Zr2TaRu
_cell_length_a 3.242
_cell_length_b 4.677
_cell_length_c 9.565
_cell_angle_alpha 90.00
_cell_angle_beta 90.00
_cell_angle_gamma 90.00
_space_group_name_H-M_alt 'I m m 2'
_space_group_IT_number 44
_space_group_name_Hall 'I 2 -2'
loop_
_atom_site_label
_atom_site_fract_x
_atom_site_fract_y
_atom_site_fract_z
Zr1 0.000 0.000 0.000
Zr2 0.000 0.500 0.233
Ta1 0.000 0.000 0.468
Ru1 0.000 0.500 0.741